[1]
A relaxed structure of Ni4MoPd, computed with PBE.

a = 4.698 Å, b = 4.698 Å, c = 4.698 Å
α = 60.00°, β = 60.00°, γ = 60.00°
Fractional coordinates of all 6 atoms:
Ni: 0.125 0.125 0.125
Ni: 0.125 0.125 0.624
Ni: 0.125 0.624 0.125
Ni: 0.624 0.125 0.125
Mo: 0.500 0.500 0.500
Pd: 0.750 0.750 0.750

**Magnetization**: 0.00 μB per cell
**Total DFT energy (no corrections)**: -6.5868 eV per atom

[2]
A relaxed structure of K5Te3, computed with PBE.

a = 10.307 Å, b = 10.307 Å, c = 10.307 Å
α = 95.66°, β = 95.66°, γ = 143.39°
Fractional coordinates of all 16 atoms:
K: 0.088 0.781 0.869
K: 0.219 0.088 0.307
K: 0.250 0.750 0.500
K: 0.276 0.591 0.866
K: 0.409 0.276 0.685
K: 0.591 0.724 0.315
K: 0.724 0.409 0.134
K: 0.750 0.250 0.500
K: 0.781 0.912 0.693
K: 0.912 0.219 0.131
Te: 0.155 0.344 0.499
Te: 0.280 0.280 0.000
Te: 0.344 0.845 0.189
Te: 0.656 0.155 0.811
Te: 0.720 0.720 0.000
Te: 0.845 0.656 0.501

**Magnetization**: 0.00 μB per cell
**Uncorrected formation energy**: -749 kJ/mol of formula units

[3]
A relaxed structure of U2RuRh, computed with PBE.

a = 3.381 Å, b = 3.381 Å, c = 6.816 Å
α = 90.00°, β = 90.00°, γ = 90.00°
Fractional coordinates of all 4 atoms:
U: 0.000 0.000 0.246
U: 0.000 0.000 0.754
Ru: 0.500 0.500 0.000
Rh: 0.500 0.500 0.500

**Magnetization**: 3.99 μB per cell
**Total DFT energy (no corrections)**: -10.0149 eV per atom

[4]
A relaxed structure of Zn2CrPt, computed with PBE.

a = 4.640 Å, b = 4.640 Å, c = 4.640 Å
α = 129.22°, β = 129.22°, γ = 74.66°
Fractional coordinates of all 4 atoms:
Zn: 0.250 0.750 0.500
Zn: 0.750 0.250 0.500
Cr: 0.000 0.000 0.000
Pt: 0.500 0.500 0.000

**Magnetization**: 3.84 μB per cell
**Total DFT energy (no corrections)**: -4.8072 eV per atom

[5]
A relaxed structure of Hf4Tc, computed with PBE.

a = 7.634 Å, b = 7.634 Å, c = 7.634 Å
α = 135.63°, β = 135.63°, γ = 64.55°
Fractional coordinates of all 10 atoms:
Hf: 0.069 0.199 0.363
Hf: 0.206 0.569 0.370
Hf: 0.301 0.164 0.870
Hf: 0.336 0.706 0.137
Hf: 0.664 0.294 0.863
Hf: 0.699 0.836 0.130
Hf: 0.794 0.431 0.630
Hf: 0.931 0.801 0.637
Tc: 0.375 0.125 0.250
Tc: 0.625 0.875 0.750

**Magnetization**: 0.00 μB per cell
**Excess energy over the best structure of this formula in the dataset**: 0 meV per atom

[6]
A relaxed structure of Ti2NbFeH, computed with PBE.

a = 4.358 Å, b = 4.358 Å, c = 3.323 Å
α = 90.00°, β = 90.00°, γ = 90.00°
Fractional coordinates of all 5 atoms:
Ti: 0.000 0.500 0.000
Ti: 0.500 0.000 0.000
Nb: 0.000 0.000 0.500
Fe: 0.500 0.500 0.500
H: 0.500 0.500 0.000

**Magnetization**: 0.00 μB per cell
**Total DFT energy (no corrections)**: -7.6530 eV per atom